A plane-wave DFT calculation with SCAN was carried out for a PBEsol-optimized structure of K4Mo2H6S2O9.

Unit cell a=6.3966 b=6.3966 c=18.5213 alpha=82.69 beta=82.69 gamma=80.60
Last column: nearest neighbours and their distance in Å.
Positions (direct):
O1 0.5383 0.8616 0.6748  1 Mo 1.74
O2 0.5744 0.7538 0.5301  1 H 1.68, 1 Mo 1.76
O3 0.4222 0.5409 0.1497  1 H 1.67, 1 Mo 1.76
O4 0.7538 0.5744 0.0301  1 H 1.68, 1 Mo 1.76
O5 0.6966 0.9082 0.9274  2 H 0.99-1.00
O6 0.2462 0.4256 0.9699  1 H 1.68, 1 Mo 1.76
O7 0.4256 0.2462 0.4699  1 H 1.68, 1 Mo 1.76
O8 0.9082 0.6966 0.4274  2 H 0.99-1.00
O9 0.1384 0.4617 0.8252  1 Mo 1.74
O10 0.5778 0.4591 0.8503  1 H 1.67, 1 Mo 1.76
O11 0.2143 0.7857 0.2500  2 H 1.00
O12 0.7857 0.2143 0.7500  2 H 1.00
O13 0.0918 0.3034 0.5726  2 H 0.99-1.00
O14 0.4617 0.1384 0.3252  1 Mo 1.74
O15 0.8616 0.5383 0.1748  1 Mo 1.74
O16 0.5409 0.4222 0.6497  1 H 1.67, 1 Mo 1.76
O17 0.3034 0.0918 0.0726  2 H 0.99-1.00
O18 0.4591 0.5778 0.3503  1 H 1.67, 1 Mo 1.76
Mo1 0.4593 0.6927 0.6199  3 O 1.74-1.76
Mo2 0.5407 0.3073 0.3801  3 O 1.74-1.76
Mo3 0.3073 0.5407 0.8801  3 O 1.74-1.76
Mo4 0.6927 0.4593 0.1199  3 O 1.74-1.76
S1 0.2439 0.8951 0.8777  1 H 2.20, 1 Mo 2.23
S2 0.7561 0.1049 0.1223  1 H 2.20, 1 Mo 2.23
S3 0.1049 0.7561 0.6223  1 H 2.20, 1 Mo 2.23
S4 0.8951 0.2439 0.3777  1 H 2.20, 1 Mo 2.23
H1 0.7155 0.7857 0.9665  1 O 1.00
H2 0.0771 0.4561 0.5806  1 O 0.99
H3 0.2143 0.2845 0.5335  1 O 1.00
H4 0.4561 0.0771 0.0806  1 O 0.99
H5 0.2845 0.2143 0.0335  1 O 1.00
H6 0.2869 0.7040 0.2088  1 O 1.00
H7 0.9229 0.5439 0.4194  1 O 0.99
H8 0.7040 0.2869 0.7088  1 O 1.00
H9 0.5439 0.9229 0.9194  1 O 0.99
H10 0.7857 0.7155 0.4665  1 O 1.00
H11 0.7131 0.2960 0.7912  1 O 1.00
H12 0.2960 0.7131 0.2912  1 O 1.00
K1 0.7425 0.1316 0.5603  5 O 2.69-2.94, 1 H 3.01
K2 0.1316 0.7425 0.0603  5 O 2.69-2.94, 1 H 3.01
K3 0.1962 0.2156 0.2149  5 O 2.73-2.82, 1 H 2.96
K4 0.7844 0.8038 0.2851  5 O 2.73-2.82, 1 H 2.96
K5 0.2575 0.8684 0.4397  5 O 2.69-2.94, 1 H 3.01
K6 0.8038 0.7844 0.7851  5 O 2.73-2.82, 1 H 2.96
K7 0.8684 0.2575 0.9397  5 O 2.69-2.94, 1 H 3.01
K8 0.2156 0.1962 0.7149  5 O 2.73-2.82, 1 H 2.96

Computed properties:
Density of states at the Fermi level (states/eV/cell): 0.000
VASP energy (eV per formula unit): -236.68